(w)
KInHg: optimized geometry, GGA-PBEsol.

abc: 5.273 5.273 3.509
angles: 90.00 90.00 120.00
Fractional positions:
K 0.000 0.000 0.000
In 0.667 0.333 0.500
Hg 0.333 0.667 0.500

Summary:
Total magnetic moment = 0.000 μB/f.u.
Crystal system = hexagonal
ρ = 6967 kg/m³
Space-group type = No. 187

(x)
KInHg: optimized geometry, GGA-PBEsol.

abc: 6.648 6.648 6.648
angles: 145.79 145.79 49.16
Fractional positions:
K 0.000 0.000 0.000
In 0.293 0.293 0.000
Hg 0.700 0.700 0.000

Summary:
Total magnetic moment = 0.000 μB/f.u.
Crystal system = tetragonal
ρ = 6366 kg/m³
Space-group type = No. 107

In terms of stability, (w) leads; the second structure lies 24 meV/atom higher.

(w)
LiInHg: optimized geometry, GGA-PBEsol.

abc: 4.629 4.629 4.629
angles: 60.00 60.00 60.00
Fractional positions:
Li 0.000 0.000 0.000
In 0.500 0.500 0.500
Hg 0.750 0.750 0.750

Summary:
Total magnetic moment = 0.000 μB/f.u.
Crystal system = cubic
ρ = 7634 kg/m³
Space-group type = No. 216

(x)
LiInHg: optimized geometry, GGA-PBEsol.

abc: 5.140 5.140 5.140
angles: 140.52 134.61 61.70
Fractional positions:
Li 0.000 0.000 0.000
In 0.328 0.328 0.000
Hg 0.659 0.659 0.000

Summary:
Total magnetic moment = 0.000 μB/f.u.
Crystal system = orthorhombic
ρ = 8809 kg/m³
Space-group type = No. 44

In terms of stability, (x) leads; the second structure lies 77 meV/atom higher.

(w)
MgIn2Hg2: optimized geometry, GGA-PBEsol.

abc: 7.388 7.388 7.388
angles: 146.23 146.23 48.51
Fractional positions:
Mg 0.000 0.000 0.000
In 0.250 0.750 0.500
In 0.750 0.250 0.500
Hg 0.400 0.400 0.000
Hg 0.600 0.600 0.000

Summary:
Total magnetic moment = 0.000 μB/f.u.
Crystal system = tetragonal
ρ = 8767 kg/m³
Space-group type = No. 139

(x)
MgIn2Hg2: optimized geometry, GGA-PBEsol.

abc: 7.543 7.543 4.261
angles: 90.00 90.00 90.00
Fractional positions:
Mg 0.000 0.000 0.000
Mg 0.500 0.500 0.000
In 0.161 0.339 0.500
In 0.339 0.839 0.500
In 0.661 0.161 0.500
In 0.839 0.661 0.500
Hg 0.145 0.645 0.000
Hg 0.355 0.145 0.000
Hg 0.645 0.855 0.000
Hg 0.855 0.355 0.000

Summary:
Total magnetic moment = 0.000 μB/f.u.
Crystal system = tetragonal
ρ = 8974 kg/m³
Space-group type = No. 127

In terms of stability, (x) leads; the second structure lies 82 meV/atom higher.

(w)
Mn2InHg: optimized geometry, GGA-PBEsol.

abc: 4.811 4.811 2.962
angles: 90.00 90.00 106.02
Fractional positions:
Mn 0.000 0.500 0.000
Mn 0.500 0.000 0.000
In 0.000 0.000 0.500
Hg 0.500 0.500 0.500

Summary:
Total magnetic moment = 6.248 μB/f.u.
Crystal system = orthorhombic
ρ = 10717 kg/m³
Space-group type = No. 65

(x)
Mn2InHg: optimized geometry, GGA-PBEsol.

abc: 8.982 8.982 8.982
angles: 19.47 19.47 19.47
Fractional positions:
Mn 0.250 0.250 0.250
Mn 0.750 0.750 0.750
In 0.500 0.500 0.500
Hg 0.000 0.000 0.000

Summary:
Total magnetic moment = 7.001 μB/f.u.
Crystal system = trigonal
ρ = 10030 kg/m³
Space-group type = No. 166

In terms of stability, (w) leads; the second structure lies 107 meV/atom higher.

(w)
InHgMo2: optimized geometry, GGA-PBEsol.

abc: 5.416 5.416 5.416
angles: 144.58 127.95 64.53
Fractional positions:
In 0.000 0.000 0.000
Hg 0.734 0.234 0.500
Mo 0.266 0.766 0.500
Mo 0.468 0.468 0.000

Summary:
Total magnetic moment = 0.000 μB/f.u.
Crystal system = orthorhombic
ρ = 11748 kg/m³
Space-group type = No. 44

(x)
InHgMo2: optimized geometry, GGA-PBEsol.

abc: 2.906 4.315 5.860
angles: 90.00 103.87 90.00
Fractional positions:
In 0.000 0.000 0.000
Hg 0.172 0.500 0.725
Mo 0.518 0.000 0.468
Mo 0.674 0.500 0.255

Summary:
Total magnetic moment = 0.000 μB/f.u.
Crystal system = monoclinic
ρ = 11807 kg/m³
Space-group type = No. 6

In terms of stability, (w) leads; the second structure lies 15 meV/atom higher.

(w)
InHgMo2: optimized geometry, GGA-PBEsol.

abc: 9.355 9.355 9.355
angles: 19.09 19.09 19.09
Fractional positions:
In 0.000 0.000 0.000
Hg 0.762 0.762 0.762
Mo 0.245 0.245 0.245
Mo 0.516 0.516 0.516

Summary:
Total magnetic moment = 0.000 μB/f.u.
Crystal system = trigonal
ρ = 11005 kg/m³
Space-group type = No. 160

(x)
InHgMo2: optimized geometry, GGA-PBEsol.

abc: 3.402 4.432 4.632
angles: 90.00 90.00 90.00
Fractional positions:
In 0.000 0.000 0.000
Hg 0.500 0.500 0.000
Mo 0.000 0.500 0.500
Mo 0.500 0.000 0.500

Summary:
Total magnetic moment = 0.000 μB/f.u.
Crystal system = orthorhombic
ρ = 12062 kg/m³
Space-group type = No. 47

(y)
InHgMo2: optimized geometry, GGA-PBEsol.

abc: 2.822 4.621 5.562
angles: 90.00 103.57 90.00
Fractional positions:
In 0.000 0.000 0.000
Hg 0.500 0.000 0.500
Mo 0.277 0.500 0.769
Mo 0.723 0.500 0.231

Summary:
Total magnetic moment = 0.000 μB/f.u.
Crystal system = monoclinic
ρ = 11946 kg/m³
Space-group type = No. 10

(z)
InHgMo2: optimized geometry, GGA-PBEsol.

abc: 5.023 5.023 5.023
angles: 131.70 131.70 70.70
Fractional positions:
In 0.000 0.000 0.000
Hg 0.250 0.750 0.500
Mo 0.500 0.500 0.000
Mo 0.750 0.250 0.500

Summary:
Total magnetic moment = 0.000 μB/f.u.
Crystal system = tetragonal
ρ = 12172 kg/m³
Space-group type = No. 119

In terms of stability, (w) leads; the second structure lies 155 meV/atom higher.

(w)
InNi2Hg: optimized geometry, GGA-PBEsol.

abc: 3.142 4.344 4.346
angles: 90.00 90.00 90.00
Fractional positions:
In 0.000 0.000 0.000
Ni 0.500 0.000 0.500
Ni 0.500 0.500 0.002
Hg 0.000 0.500 0.501

Summary:
Total magnetic moment = 0.001 μB/f.u.
Crystal system = orthorhombic
ρ = 12115 kg/m³
Space-group type = No. 25

(x)
InNi2Hg: optimized geometry, GGA-PBEsol.

abc: 4.372 4.372 4.372
angles: 119.74 119.74 90.45
Fractional positions:
In 0.000 0.000 0.000
Ni 0.250 0.750 0.500
Ni 0.750 0.250 0.500
Hg 0.500 0.500 0.000

Summary:
Total magnetic moment = 0.000 μB/f.u.
Crystal system = tetragonal
ρ = 12118 kg/m³
Space-group type = No. 139

In terms of stability, (x) leads; the second structure lies 7 meV/atom higher.

(w)
InHgP2: optimized geometry, GGA-PBEsol.

abc: 3.784 3.842 5.487
angles: 90.00 90.00 90.00
Fractional positions:
In 0.000 0.000 0.000
Hg 0.000 0.500 0.500
P 0.500 0.000 0.500
P 0.500 0.500 0.000

Summary:
Total magnetic moment = 0.000 μB/f.u.
Crystal system = orthorhombic
ρ = 7853 kg/m³
Space-group type = No. 47

(x)
InHgP2: optimized geometry, GGA-PBEsol.

abc: 4.640 4.640 3.713
angles: 90.00 90.00 104.32
Fractional positions:
In 0.000 0.000 0.000
Hg 0.500 0.500 0.000
P 0.000 0.500 0.500
P 0.500 0.000 0.500

Summary:
Total magnetic moment = 0.000 μB/f.u.
Crystal system = orthorhombic
ρ = 8091 kg/m³
Space-group type = No. 65

In terms of stability, (w) leads; the second structure lies 46 meV/atom higher.

(w)
InHgP: optimized geometry, GGA-PBEsol.

abc: 4.651 4.651 4.651
angles: 60.00 60.00 60.00
Fractional positions:
In 0.000 0.000 0.000
Hg 0.250 0.250 0.250
P 0.500 0.500 0.500

Summary:
Total magnetic moment = 0.000 μB/f.u.
Crystal system = cubic
ρ = 8086 kg/m³
Space-group type = No. 216

(x)
InHgP: optimized geometry, GGA-PBEsol.

abc: 3.948 3.948 4.866
angles: 90.00 90.00 120.00
Fractional positions:
In 0.000 0.000 0.000
Hg 0.667 0.333 0.406
P 0.333 0.667 0.727

Summary:
Total magnetic moment = 0.000 μB/f.u.
Crystal system = trigonal
ρ = 8758 kg/m³
Space-group type = No. 156

In terms of stability, (x) leads; the second structure lies 291 meV/atom higher.

(w)
InHgPt2: optimized geometry, GGA-PBEsol.

abc: 5.253 5.253 5.253
angles: 135.86 135.86 64.20
Fractional positions:
In 0.000 0.000 0.000
Hg 0.250 0.750 0.500
Pt 0.500 0.500 0.000
Pt 0.750 0.250 0.500

Summary:
Total magnetic moment = 0.000 μB/f.u.
Crystal system = tetragonal
ρ = 16890 kg/m³
Space-group type = No. 119

(x)
InHgPt2: optimized geometry, GGA-PBEsol.

abc: 2.944 4.787 4.903
angles: 90.00 90.00 90.00
Fractional positions:
In 0.000 0.000 0.000
Hg 0.000 0.500 0.420
Pt 0.500 0.000 0.508
Pt 0.500 0.500 0.915

Summary:
Total magnetic moment = 0.000 μB/f.u.
Crystal system = orthorhombic
ρ = 16956 kg/m³
Space-group type = No. 25

In terms of stability, (x) leads; the second structure lies 40 meV/atom higher.

(w)
InTc2Hg: optimized geometry, GGA-PBEsol.

abc: 5.111 5.111 4.837
angles: 103.33 103.33 33.49
Fractional positions:
In 0.000 0.000 0.000
Tc 0.243 0.243 0.755
Tc 0.532 0.532 0.527
Hg 0.772 0.772 0.282

Summary:
Total magnetic moment = 0.000 μB/f.u.
Crystal system = monoclinic
ρ = 12551 kg/m³
Space-group type = No. 8

(x)
InTc2Hg: optimized geometry, GGA-PBEsol.

abc: 5.454 5.454 5.454
angles: 147.31 128.87 62.02
Fractional positions:
In 0.000 0.000 0.000
Tc 0.247 0.747 0.500
Tc 0.753 0.253 0.500
Hg 0.500 0.500 0.000

Summary:
Total magnetic moment = 0.003 μB/f.u.
Crystal system = orthorhombic
ρ = 12576 kg/m³
Space-group type = No. 71

In terms of stability, (w) leads; the second structure lies 161 meV/atom higher.

(w)
In2HgTe: optimized geometry, GGA-PBEsol.

abc: 6.699 6.699 6.699
angles: 145.00 140.46 53.82
Fractional positions:
In 0.000 0.000 0.000
In 0.773 0.273 0.500
Hg 0.310 0.810 0.500
Te 0.575 0.575 0.000

Summary:
Total magnetic moment = 0.000 μB/f.u.
Crystal system = orthorhombic
ρ = 8496 kg/m³
Space-group type = No. 44

(x)
In2HgTe: optimized geometry, GGA-PBEsol.

abc: 5.353 5.353 5.353
angles: 119.90 119.90 90.17
Fractional positions:
In 0.250 0.750 0.500
In 0.750 0.250 0.500
Hg 0.000 0.000 0.000
Te 0.500 0.500 0.000

Summary:
Total magnetic moment = 0.000 μB/f.u.
Crystal system = tetragonal
ρ = 8526 kg/m³
Space-group type = No. 139

In terms of stability, (w) leads; the second structure lies 32 meV/atom higher.